Here is a geometry-optimized Pr4Y6Ho structure from Alexandria via LeMat-Bulk. Energies are from GGA-PBE.

Values from the calculation:
* SG: P-6m2 (187)

abc: 3.612 11.055 11.055
angles: 120.00 90.00 90.00
Element x y z (fractional)
Ho: 0.000 0.000 0.000
Y: 0.000 0.518 0.036
Y: 0.500 0.182 0.365
Y: 0.500 0.182 0.818
Y: 0.500 0.635 0.818
Y: 0.000 0.964 0.482
Y: 0.000 0.518 0.482
Pr: 0.500 0.320 0.160
Pr: 0.500 0.840 0.160
Pr: 0.000 0.333 0.667
Pr: 0.500 0.840 0.680

Here is a geometry-optimized Pr5YHo12 structure from Alexandria via LeMat-Bulk. Energies are from GGA-PBE.

Values from the calculation:
* SG: Cmmm (65)

abc: 11.729 10.472 5.765
angles: 90.00 90.00 55.94
Element x y z (fractional)
Ho: 0.166 0.358 0.500
Ho: 0.335 0.644 0.000
Ho: 0.834 0.642 0.500
Ho: 0.198 0.000 0.500
Ho: 0.524 0.642 0.500
Ho: 0.802 0.000 0.500
Ho: 0.300 0.000 0.000
Ho: 0.665 0.356 0.000
Ho: 0.476 0.358 0.500
Ho: 0.979 0.356 0.000
Ho: 0.021 0.644 0.000
Ho: 0.700 0.000 0.000
Pr: 0.641 0.718 0.000
Pr: 0.500 0.000 0.500
Pr: 0.138 0.725 0.500
Pr: 0.862 0.275 0.500
Pr: 0.359 0.282 0.000
Y: 0.000 0.000 0.000

Here is a geometry-optimized Pr8Y4Ho3 structure from Alexandria via LeMat-Bulk. Energies are from GGA-PBE.

Values from the calculation:
* SG: C2/m (12)

abc: 6.956 9.262 9.262
angles: 83.05 110.65 110.65
Element x y z (fractional)
Y: 0.500 0.000 0.000
Y: 0.000 0.500 0.000
Y: 0.000 0.000 0.000
Y: 0.000 0.000 0.500
Pr: 0.824 0.298 0.298
Pr: 0.500 0.753 0.247
Pr: 0.290 0.245 0.245
Pr: 0.000 0.294 0.706
Pr: 0.500 0.247 0.753
Pr: 0.176 0.702 0.702
Pr: 0.710 0.755 0.755
Pr: 0.000 0.706 0.294
Ho: 0.500 0.500 0.000
Ho: 0.500 0.000 0.500
Ho: 0.500 0.500 0.500

Here is a geometry-optimized Pr5Y4Ho2 structure from Alexandria via LeMat-Bulk. Energies are from GGA-PBE.

Values from the calculation:
* SG: Immm (71)

abc: 3.559 9.234 12.881
angles: 111.00 97.94 90.00
Element x y z (fractional)
Y: 0.402 0.402 0.805
Y: 0.598 0.598 0.195
Y: 0.000 0.313 0.000
Y: 0.000 0.687 0.000
Pr: 0.500 0.000 0.000
Pr: 0.148 0.947 0.295
Pr: 0.852 0.053 0.705
Pr: 0.852 0.652 0.705
Pr: 0.148 0.348 0.295
Ho: 0.269 0.269 0.539
Ho: 0.731 0.731 0.461

Here is a geometry-optimized PrY3Ho5 structure from Alexandria via LeMat-Bulk. Energies are from GGA-PBE.

Values from the calculation:
* SG: C2/c (15)

abc: 6.048 10.048 11.323
angles: 111.99 90.00 107.51
Element x y z (fractional)
Ho: 0.914 0.340 0.530
Ho: 0.907 0.326 0.196
Ho: 0.086 0.660 0.470
Ho: 0.414 0.000 0.750
Ho: 0.426 0.340 0.030
Ho: 0.420 0.326 0.696
Ho: 0.586 0.000 0.250
Ho: 0.093 0.674 0.804
Ho: 0.574 0.660 0.970
Ho: 0.580 0.674 0.304
Y: 0.411 0.354 0.363
Y: 0.589 0.646 0.637
Y: 0.000 0.000 0.500
Y: 0.000 0.000 0.000
Y: 0.943 0.354 0.863
Y: 0.057 0.646 0.137
Pr: 0.092 0.000 0.250
Pr: 0.908 0.000 0.750

Here is a geometry-optimized PrY3Ho3 structure from Alexandria via LeMat-Bulk. Energies are from GGA-PBE.

Values from the calculation:
* SG: R-3 (148)

abc: 8.812 8.812 8.812
angles: 59.02 59.02 59.02
Element x y z (fractional)
Y: 0.937 0.272 0.430
Y: 0.570 0.063 0.728
Y: 0.430 0.937 0.272
Y: 0.272 0.430 0.937
Y: 0.728 0.570 0.063
Y: 0.063 0.728 0.570
Pr: 0.351 0.351 0.351
Pr: 0.649 0.649 0.649
Ho: 0.285 0.827 0.064
Ho: 0.715 0.173 0.936
Ho: 0.064 0.285 0.827
Ho: 0.173 0.936 0.715
Ho: 0.827 0.064 0.285
Ho: 0.936 0.715 0.173

Here is a geometry-optimized Pr12Y2Ho structure from Alexandria via LeMat-Bulk. Energies are from GGA-PBE.

Values from the calculation:
* SG: Cmme (67)

abc: 6.913 6.913 25.193
angles: 90.00 90.00 116.47
Element x y z (fractional)
Pr: 0.725 0.775 0.560
Pr: 0.275 0.225 0.560
Pr: 0.500 0.500 0.676
Pr: 0.000 0.000 0.802
Pr: 0.000 0.000 0.198
Pr: 0.248 0.748 0.130
Pr: 0.252 0.248 0.073
Pr: 0.729 0.229 0.415
Pr: 0.000 0.000 0.676
Pr: 0.752 0.252 0.130
Pr: 0.252 0.752 0.870
Pr: 0.771 0.271 0.585
Pr: 0.229 0.729 0.585
Pr: 0.748 0.752 0.073
Pr: 0.500 0.500 0.198
Pr: 0.225 0.275 0.440
Pr: 0.748 0.248 0.870
Pr: 0.000 0.000 0.324
Pr: 0.248 0.252 0.927
Pr: 0.271 0.771 0.415
Pr: 0.752 0.748 0.927
Pr: 0.500 0.500 0.802
Pr: 0.775 0.725 0.440
Pr: 0.500 0.500 0.324
Y: 0.500 0.000 0.729
Y: 0.500 0.000 0.267
Y: 0.000 0.500 0.733
Y: 0.000 0.500 0.271
Ho: 0.500 0.000 0.999
Ho: 0.000 0.500 0.001

Here is a geometry-optimized Pr4Y7Ho structure from Alexandria via LeMat-Bulk. Energies are from GGA-PBE.

Values from the calculation:
* SG: P-1 (2)

abc: 6.910 6.617 11.947
angles: 75.39 49.97 81.78
Element x y z (fractional)
Ho: 0.000 0.000 0.000
Y: 0.730 0.183 0.378
Y: 0.800 0.508 0.953
Y: 0.051 0.325 0.639
Y: 0.270 0.817 0.622
Y: 0.949 0.675 0.361
Y: 0.200 0.492 0.047
Y: 0.500 0.000 0.000
Pr: 0.313 0.165 0.305
Pr: 0.687 0.835 0.695
Pr: 0.534 0.643 0.283
Pr: 0.466 0.357 0.717

Which magnetization belongs to each record? In order, 0.0 0.0 0.0 0.0 0.1 0.0 0.0 0.0 μB/f.u..
Which energy relative to the elements belongs to each record? In order, 163 91 325 209 340 212 149 84 meV per atom.
Which V belongs to each record? In order, 382.3 586.6 522.4 390.9 603.5 473.0 1077.8 404.6 Å³/cell.